# Zn3Ni | Alexandria | PBE | optimized geometry
# Final energy   -2.53 eV/atom
# Formation energy from the elements   -126 meV per atom
data_Zn3Ni
_cell_length_a 2.7311
_cell_length_b 4.2235
_cell_length_c 4.6067
_cell_angle_alpha 90.00
_cell_angle_beta 90.00
_cell_angle_gamma 90.00
_symmetry_space_group_name_H-M 'P m m 2'
_symmetry_Int_Tables_number 25
_symmetry_space_group_name_Hall 'P 2 -2'
loop_
_atom_site_label
_atom_site_fract_x
_atom_site_fract_y
_atom_site_fract_z
Zn1 0.0000 0.0000 0.0000
Zn2 0.0000 0.5000 0.3433
Zn3 0.5000 0.5000 0.8236
Ni1 0.5000 0.0000 0.4985

=====

# Zr3ZnNi3 | Alexandria | PBE | optimized geometry
# Final energy   -6.72 eV/atom
# Formation energy from the elements   -393 meV per atom
data_Zr3ZnNi3
_cell_length_a 3.9294
_cell_length_b 9.4509
_cell_length_c 12.4408
_cell_angle_alpha 90.00
_cell_angle_beta 90.00
_cell_angle_gamma 90.00
_symmetry_space_group_name_H-M 'C m c m'
_symmetry_Int_Tables_number 63
_symmetry_space_group_name_Hall '-C 2c 2'
loop_
_atom_site_label
_atom_site_fract_x
_atom_site_fract_y
_atom_site_fract_z
Zr1 0.0000 0.0194 0.2500
Zr2 0.0000 0.3007 0.1044
Zn1 0.0000 0.0000 0.0000
Ni1 0.0000 0.2547 0.7500
Ni2 0.0000 0.4115 0.5972

=====

# Zr3Zn2Ni6 | Alexandria | PBE | optimized geometry
# Final energy   -6.14 eV/atom
# Formation energy from the elements   -420 meV per atom
data_Zr3Zn2Ni6
_cell_length_a 8.5959
_cell_length_b 8.5959
_cell_length_c 8.5959
_cell_angle_alpha 90.00
_cell_angle_beta 90.00
_cell_angle_gamma 90.00
_symmetry_space_group_name_H-M 'I m -3 m'
_symmetry_Int_Tables_number 229
_symmetry_space_group_name_Hall '-I 4 2 3'
loop_
_atom_site_label
_atom_site_fract_x
_atom_site_fract_y
_atom_site_fract_z
Zr1 0.0000 0.0000 0.2781
Zn1 0.2500 0.2500 0.2500
Ni1 0.0000 0.3464 0.3464